[1]
## BePCl (GGA-PBEsol)

Data for crystalline BePCl at its relaxed geometry.

Output
Its crystal system is cubic. The theoretical density is 2.5 g/cm³. For the polymorph energy (0 for the lowest one), the calculation gives 1.144 eV per atom. The calculation puts the total moment at 0.00 μB per formula unit. Its formation energy from raw total energies is 1.34 eV per atom. The value obtained for the final energy is -31.1 eV for the cell shown.

Cell: 5.866 5.866 5.866 Å, 90.00 90.00 90.00°
Space group F-43m (No. 216)
Symmetry-distinct sites (fractional):
Be (0.000, 0.000, 0.000) (multiplicity 4)
P (0.000, 0.000, 0.500) (multiplicity 4)
Cl (0.250, 0.250, 0.250) (multiplicity 4)



[2]
## RbBePCl2 (GGA-PBEsol)

Data for crystalline RbBePCl2 at its relaxed geometry.

Output
Its crystal system is tetragonal. The theoretical density is 2.9 g/cm³. The calculation puts the total moment at 1.88 μB per formula unit. Its formation energy from raw total energies is -0.56 eV per atom. The value obtained for the final energy is -17.6 eV for the cell shown.

Cell: 5.080 5.080 4.286 Å, 90.00 90.00 90.00°
Space group P4/mmm (No. 123)
Symmetry-distinct sites (fractional):
Rb (0.000, 0.000, 0.000) (multiplicity 1)
Be (0.500, 0.500, 0.500) (multiplicity 1)
P (0.500, 0.500, 0.000) (multiplicity 1)
Cl (0.000, 0.500, 0.500) (multiplicity 2)



[3]
## BeReP2Cl (GGA-PBEsol)

Data for crystalline BeReP2Cl at its relaxed geometry.

Output
Its crystal system is tetragonal. The theoretical density is 6.8 g/cm³. The calculation puts the total moment at 1.05 μB per formula unit. Its formation energy from raw total energies is 1.11 eV per atom. The value obtained for the final energy is -25.4 eV for the cell shown.

Cell: 4.090 4.090 4.277 Å, 90.00 90.00 90.00°
Space group P4/mmm (No. 123)
Symmetry-distinct sites (fractional):
Be (0.000, 0.000, 0.000) (multiplicity 1)
Re (0.500, 0.500, 0.500) (multiplicity 1)
P (0.000, 0.500, 0.000) (multiplicity 2)
Cl (0.000, 0.000, 0.500) (multiplicity 1)



[4]
## BePS2Cl (GGA-PBEsol)

Data for crystalline BePS2Cl at its relaxed geometry.

Output
Its crystal system is tetragonal. The theoretical density is 2.5 g/cm³. The calculation puts the total moment at 0.00 μB per formula unit. Its formation energy from raw total energies is 1.44 eV per atom. The value obtained for the final energy is -13.4 eV for the cell shown.

Cell: 4.533 4.533 4.483 Å, 90.00 90.00 90.00°
Space group P4/mmm (No. 123)
Symmetry-distinct sites (fractional):
Be (0.000, 0.000, 0.000) (multiplicity 1)
P (0.500, 0.500, 0.000) (multiplicity 1)
S (0.000, 0.500, 0.500) (multiplicity 2)
Cl (0.500, 0.500, 0.500) (multiplicity 1)



[5]
## BeP2SCl (GGA-PBEsol)

Data for crystalline BeP2SCl at its relaxed geometry.

Output
Its crystal system is tetragonal. The theoretical density is 2.9 g/cm³. The calculation puts the total moment at 0.00 μB per formula unit. Its formation energy from raw total energies is 0.59 eV per atom. The value obtained for the final energy is -19.0 eV for the cell shown.

Cell: 4.402 4.402 4.057 Å, 90.00 90.00 90.00°
Space group P4/mmm (No. 123)
Symmetry-distinct sites (fractional):
Be (0.000, 0.000, 0.000) (multiplicity 1)
P (0.000, 0.500, 0.000) (multiplicity 2)
S (0.000, 0.000, 0.500) (multiplicity 1)
Cl (0.500, 0.500, 0.500) (multiplicity 1)



[6]
## BeSbP2Cl (GGA-PBEsol)

Data for crystalline BeSbP2Cl at its relaxed geometry.

Output
Its crystal system is tetragonal. The theoretical density is 4.4 g/cm³. The calculation puts the total moment at 0.00 μB per formula unit. Its formation energy from raw total energies is 0.28 eV per atom. The value obtained for the final energy is -20.7 eV for the cell shown.

Cell: 4.515 4.515 4.184 Å, 90.00 90.00 90.00°
Space group P4/mmm (No. 123)
Symmetry-distinct sites (fractional):
Be (0.000, 0.000, 0.000) (multiplicity 1)
Sb (0.500, 0.500, 0.500) (multiplicity 1)
P (0.000, 0.500, 0.000) (multiplicity 2)
Cl (0.000, 0.000, 0.500) (multiplicity 1)



[7]
## BeP2SeCl (GGA-PBEsol)

Data for crystalline BeP2SeCl at its relaxed geometry.

Output
Its crystal system is tetragonal. The theoretical density is 3.8 g/cm³. The calculation puts the total moment at 0.00 μB per formula unit. Its formation energy from raw total energies is 0.41 eV per atom. The value obtained for the final energy is -19.4 eV for the cell shown.

Cell: 4.471 4.471 4.060 Å, 90.00 90.00 90.00°
Space group P4/mmm (No. 123)
Symmetry-distinct sites (fractional):
Be (0.000, 0.000, 0.000) (multiplicity 1)
P (0.000, 0.500, 0.000) (multiplicity 2)
Se (0.500, 0.500, 0.500) (multiplicity 1)
Cl (0.000, 0.000, 0.500) (multiplicity 1)



[8]
## SrBePCl2 (GGA-PBEsol)

Data for crystalline SrBePCl2 at its relaxed geometry.

Output
Its crystal system is tetragonal. The theoretical density is 3.3 g/cm³. The calculation puts the total moment at 0.69 μB per formula unit. Its formation energy from raw total energies is -0.90 eV per atom. The value obtained for the final energy is -20.2 eV for the cell shown.

Cell: 4.715 4.715 4.447 Å, 90.00 90.00 90.00°
Space group P4/mmm (No. 123)
Symmetry-distinct sites (fractional):
Sr (0.000, 0.000, 0.000) (multiplicity 1)
Be (0.500, 0.500, 0.500) (multiplicity 1)
P (0.500, 0.500, 0.000) (multiplicity 1)
Cl (0.000, 0.500, 0.500) (multiplicity 2)



[9]
## SrBeP2Cl (GGA-PBEsol)

Data for crystalline SrBeP2Cl at its relaxed geometry.

Output
Its crystal system is tetragonal. The theoretical density is 1.9 g/cm³. The calculation puts the total moment at 1.59 μB per formula unit. Its formation energy from raw total energies is 1.10 eV per atom. The value obtained for the final energy is -13.9 eV for the cell shown.

Cell: 5.624 5.624 5.297 Å, 90.00 90.00 90.00°
Space group P4/mmm (No. 123)
Symmetry-distinct sites (fractional):
Sr (0.000, 0.000, 0.000) (multiplicity 1)
Be (0.500, 0.500, 0.500) (multiplicity 1)
P (0.000, 0.500, 0.000) (multiplicity 2)
Cl (0.000, 0.000, 0.500) (multiplicity 1)



[10]
## BePWCl2 (GGA-PBEsol)

Data for crystalline BePWCl2 at its relaxed geometry.

Output
Its crystal system is tetragonal. The theoretical density is 4.8 g/cm³. The calculation puts the total moment at 2.87 μB per formula unit. Its formation energy from raw total energies is 0.68 eV per atom. The value obtained for the final energy is -24.2 eV for the cell shown.

Cell: 3.889 3.889 6.720 Å, 90.00 90.00 90.00°
Space group P4/mmm (No. 123)
Symmetry-distinct sites (fractional):
Be (0.000, 0.000, 0.000) (multiplicity 1)
P (0.000, 0.000, 0.500) (multiplicity 1)
W (0.500, 0.500, 0.500) (multiplicity 1)
Cl (0.000, 0.500, 0.000) (multiplicity 2)



[11]
## ZrBeP2Cl (GGA-PBEsol)

Data for crystalline ZrBeP2Cl at its relaxed geometry.

Output
Its crystal system is tetragonal. The theoretical density is 4.1 g/cm³. The calculation puts the total moment at 0.00 μB per formula unit. Its formation energy from raw total energies is -0.02 eV per atom. The value obtained for the final energy is -26.8 eV for the cell shown.

Cell: 4.261 4.261 4.409 Å, 90.00 90.00 90.00°
Space group P4/mmm (No. 123)
Symmetry-distinct sites (fractional):
Zr (0.000, 0.000, 0.000) (multiplicity 1)
Be (0.500, 0.500, 0.500) (multiplicity 1)
P (0.000, 0.500, 0.500) (multiplicity 2)
Cl (0.500, 0.500, 0.000) (multiplicity 1)



[12]
## Be2PbCl (GGA-PBEsol)

Data for crystalline Be2PbCl at its relaxed geometry.

Output
Its crystal system is cubic. The theoretical density is 5.7 g/cm³. For the polymorph energy (0 for the lowest one), the calculation gives 0.638 eV per atom. The calculation puts the total moment at 0.00 μB per formula unit. Its formation energy from raw total energies is 0.86 eV per atom. The value obtained for the final energy is -42.2 eV for the cell shown.

Cell: 6.709 6.709 6.709 Å, 90.00 90.00 90.00°
Space group F-43m (No. 216)
Symmetry-distinct sites (fractional):
Be (0.000, 0.000, 0.000) (multiplicity 4)
Be (0.250, 0.250, 0.250) (multiplicity 4)
Pb (0.250, 0.250, 0.750) (multiplicity 4)
Cl (0.000, 0.000, 0.500) (multiplicity 4)



[13]
## Be2PbCl (GGA-PBEsol)

Data for crystalline Be2PbCl at its relaxed geometry.

Output
Its crystal system is orthorhombic. The theoretical density is 5.2 g/cm³. For the polymorph energy (0 for the lowest one), the calculation gives 0.000 eV per atom. The calculation puts the total moment at 0.00 μB per formula unit. Its formation energy from raw total energies is 0.22 eV per atom. The value obtained for the final energy is -26.2 eV for the cell shown.

Cell: 2.982 5.944 9.360 Å, 90.00 90.00 90.00°
Space group Cmm2 (No. 35)
Symmetry-distinct sites (fractional):
Be (0.000, 0.000, 0.000) (multiplicity 2)
Be (0.000, 0.500, 0.192) (multiplicity 2)
Pb (0.000, 0.500, 0.752) (multiplicity 2)
Cl (0.000, 0.000, 0.338) (multiplicity 2)



[14]
## BePb2Cl (GGA-PBEsol)

Data for crystalline BePb2Cl at its relaxed geometry.

Output
Its crystal system is tetragonal. The theoretical density is 8.5 g/cm³. For the polymorph energy (0 for the lowest one), the calculation gives 0.110 eV per atom. The calculation puts the total moment at 0.00 μB per formula unit. Its formation energy from raw total energies is 0.28 eV per atom. The value obtained for the final energy is -25.8 eV for the cell shown.

Cell: 4.992 4.992 7.197 Å, 90.00 90.00 90.00°
Space group I4/mmm (No. 139)
Symmetry-distinct sites (fractional):
Be (0.000, 0.000, 0.000) (multiplicity 2)
Pb (0.000, 0.500, 0.250) (multiplicity 4)
Cl (0.000, 0.000, 0.500) (multiplicity 2)



[15]
## Be2PbCl (GGA-PBEsol)

Data for crystalline Be2PbCl at its relaxed geometry.

Output
Its crystal system is cubic. The theoretical density is 6.1 g/cm³. For the polymorph energy (0 for the lowest one), the calculation gives 0.628 eV per atom. The calculation puts the total moment at 0.00 μB per formula unit. Its formation energy from raw total energies is 0.85 eV per atom. The value obtained for the final energy is -42.4 eV for the cell shown.

Cell: 6.564 6.564 6.564 Å, 90.00 90.00 90.00°
Space group Fm-3m (No. 225)
Symmetry-distinct sites (fractional):
Be (0.250, 0.250, 0.250) (multiplicity 8)
Pb (0.000, 0.000, 0.000) (multiplicity 4)
Cl (0.000, 0.000, 0.500) (multiplicity 4)



[16]
## BePb2Cl (GGA-PBEsol)

Data for crystalline BePb2Cl at its relaxed geometry.

Output
Its crystal system is tetragonal. The theoretical density is 8.5 g/cm³. For the polymorph energy (0 for the lowest one), the calculation gives 0.000 eV per atom. The calculation puts the total moment at 0.00 μB per formula unit. Its formation energy from raw total energies is 0.17 eV per atom. The value obtained for the final energy is -13.3 eV for the cell shown.

Cell: 5.249 5.249 3.253 Å, 90.00 90.00 90.00°
Space group P4/mmm (No. 123)
Symmetry-distinct sites (fractional):
Be (0.000, 0.000, 0.000) (multiplicity 1)
Pb (0.000, 0.500, 0.500) (multiplicity 2)
Cl (0.500, 0.500, 0.000) (multiplicity 1)



[17]
## Be2PbCl (GGA-PBEsol)

Data for crystalline Be2PbCl at its relaxed geometry.

Output
Its crystal system is orthorhombic. The theoretical density is 6.1 g/cm³. For the polymorph energy (0 for the lowest one), the calculation gives 0.322 eV per atom. The calculation puts the total moment at 0.00 μB per formula unit. Its formation energy from raw total energies is 0.55 eV per atom. The value obtained for the final energy is -23.6 eV for the cell shown.

Cell: 3.218 6.063 7.289 Å, 90.00 90.00 90.00°
Space group Immm (No. 71)
Symmetry-distinct sites (fractional):
Be (0.000, 0.000, 0.219) (multiplicity 4)
Pb (0.000, 0.500, 0.000) (multiplicity 2)
Cl (0.000, 0.500, 0.500) (multiplicity 2)



[18]
## BePbCl (GGA-PBEsol)

Data for crystalline BePbCl at its relaxed geometry.

Output
Its crystal system is trigonal. The theoretical density is 6.5 g/cm³. The calculation puts the total moment at 0.00 μB per formula unit. Its formation energy from raw total energies is -0.22 eV per atom. The value obtained for the final energy is -10.7 eV for the cell shown.

Cell: 3.2310 3.2310 7.1242 Å, 90.00 90.00 120.00°
Space group P3m1 (No. 156)
Symmetry-distinct sites (fractional):
Be (0.0000, 0.0000, 0.0000) (multiplicity 1)
Pb (0.6667, 0.3333, 0.3220) (multiplicity 1)
Cl (0.3333, 0.6667, 0.8398) (multiplicity 1)



[19]
## BePbCl2 (GGA-PBEsol)

Data for crystalline BePbCl2 at its relaxed geometry.

Output
Its crystal system is cubic. The theoretical density is 5.5 g/cm³. The calculation puts the total moment at 0.00 μB per formula unit. Its formation energy from raw total energies is 0.18 eV per atom. The value obtained for the final energy is -45.2 eV for the cell shown.

Cell: 7.013 7.013 7.013 Å, 90.00 90.00 90.00°
Space group F-43m (No. 216)
Symmetry-distinct sites (fractional):
Be (0.000, 0.000, 0.000) (multiplicity 4)
Pb (0.250, 0.250, 0.750) (multiplicity 4)
Cl (0.000, 0.000, 0.500) (multiplicity 4)
Cl (0.250, 0.250, 0.250) (multiplicity 4)



[20]
## BePdCl2 (GGA-PBEsol)

Data for crystalline BePdCl2 at its relaxed geometry.

Output
Its crystal system is tetragonal. The theoretical density is 4.5 g/cm³. For the polymorph energy (0 for the lowest one), the calculation gives 0.036 eV per atom. The calculation puts the total moment at 0.00 μB per formula unit. Its formation energy from raw total energies is -0.41 eV per atom. The value obtained for the final energy is -62.4 eV for the cell shown.

Cell: 5.445 5.445 9.201 Å, 90.00 90.00 90.00°
Space group I-42d (No. 122)
Symmetry-distinct sites (fractional):
Be (0.000, 0.000, 0.000) (multiplicity 4)
Pd (0.000, 0.000, 0.500) (multiplicity 4)
Cl (0.179, 0.750, 0.125) (multiplicity 8)